4
Lattice="2.773 0.000 0.032 0.000 3.869 0.000 -0.362 0.000 5.521" Properties=species:S:1:pos:R:3 comment="Ta2CoPt, relaxed, DFT PBEsol" volume_a3_per_cell=59 formation_energy_kj_per_mol_atoms=-36 dos_at_fermi_per_ev_cell=2.88 pbc="T T T"
Pt 1.206 1.935 2.777
Co 1.387 1.935 0.016
Ta -0.202 0.000 4.205
Ta 2.614 0.000 1.348

5
Lattice="-1.781 0.688 -4.432 -2.963 -3.760 0.607 -3.367 2.945 1.811" Properties=species:S:1:pos:R:3 comment="CaTa3Ga, relaxed, DFT PBEsol" volume_a3_per_cell=112 formation_energy_kj_per_mol_atoms=112 dos_at_fermi_per_ev_cell=4.37 pbc="T T T"
Ta -1.683 1.472 0.905
Ta -0.891 0.344 -2.216
Ta -1.481 -1.880 0.303
Ga 0.000 0.000 0.000
Ca -4.055 -0.064 -1.007

4
Lattice="2.711 0.000 0.000 1.356 2.348 0.000 1.356 0.783 8.032" Properties=species:S:1:pos:R:3 comment="LiMn2As, relaxed, DFT PBEsol" volume_a3_per_cell=51 formation_energy_kj_per_mol_atoms=42 dos_at_fermi_per_ev_cell=4.21 pbc="T T T"
Mn 4.067 2.348 5.821
Mn 1.356 0.783 2.211
As 2.711 1.565 4.016
Li 0.000 0.000 0.000

5
Lattice="-3.833 2.674 1.461 -2.866 -2.367 -3.187 -1.035 -3.350 3.418" Properties=species:S:1:pos:R:3 comment="In3CoHg, relaxed, DFT PBEsol" volume_a3_per_cell=117 formation_energy_kj_per_mol_atoms=0 dos_at_fermi_per_ev_cell=1.80 pbc="T T T"
In -0.517 -1.675 1.709
In -1.916 1.337 0.731
In -1.433 -1.183 -1.594
Co 0.000 0.000 0.000
Hg -3.867 -1.521 0.846